[1]
This record from the Alexandria database describes a relaxed structure of PmAl2GaIr2. The functional is GGA-PBE.

Cell lengths 4.6194, 4.6194, 5.6480 Å; angles 90.00, 90.00, 90.00 degrees
Closest atoms and distances in Å follow each position.
Fractional coordinates of all 6 atoms:
Pm (0.0000, 0.0000, 0.5000)  2 Ga 2.82
Al (0.5000, 0.5000, 0.7500)  4 Ir 2.71, 2 Al 2.82
Al (0.5000, 0.5000, 0.2500)  4 Ir 2.71, 2 Al 2.82
Ga (0.0000, 0.0000, 0.0000)  4 Ir 2.31
Ir (0.5000, 0.0000, 0.0000)  2 Ga 2.31
Ir (0.0000, 0.5000, 0.0000)  2 Ga 2.31

[2]
This record from the Alexandria database describes a relaxed structure of Pm2Al4GaIr3. The functional is GGA-PBE.

Cell lengths 4.1477, 4.1477, 10.9434 Å; angles 90.00, 90.00, 90.00 degrees
Closest atoms and distances in Å follow each position.
Fractional coordinates of all 10 atoms:
Pm (0.5000, 0.0000, 0.2460)  6 Ir 3.18-3.47, 8 Al 3.20-3.40, 2 Ga 3.47
Pm (0.0000, 0.5000, 0.7540)  6 Ir 3.18-3.47, 8 Al 3.20-3.40, 2 Ga 3.47
Al (0.5000, 0.5000, 0.0000)  4 Ir 2.54
Al (0.0000, 0.0000, 0.0000)  4 Ir 2.54
Al (0.5000, 0.0000, 0.6362)  3 Ir 2.52-2.55, 2 Ga 2.55
Al (0.0000, 0.5000, 0.3638)  3 Ir 2.52-2.55, 2 Ga 2.55
Ga (0.5000, 0.5000, 0.5000)  4 Al 2.55
Ir (0.0000, 0.0000, 0.5000)  4 Al 2.55
Ir (0.5000, 0.0000, 0.8667)  5 Al 2.52-2.54
Ir (0.0000, 0.5000, 0.1333)  5 Al 2.52-2.54

no.,formation energy from the elements (eV per atom),raw total energy (eV per atom)
1,-0.2958,-5.79
2,-0.7568,-6.16